# La2HoSb PBE-GGA optimized geometry
data_La2HoSb
_chemical_formula_sum 'La2 Ho1 Sb1'
_symmetry_space_group_name_H-M 'P 1'
_symmetry_Int_Tables_number 1
_cell_length_a 5.614
_cell_length_b 5.614
_cell_length_c 5.614
_cell_angle_alpha 60.00
_cell_angle_beta 60.00
_cell_angle_gamma 60.00
loop_
_symmetry_equiv_pos_as_xyz
'x,y,z'
loop_
_atom_site_label
_atom_site_fract_x
_atom_site_fract_y
_atom_site_fract_z
_atom_site_occupancy
La1 0.250 0.250 0.250 1
La2 0.750 0.750 0.750 1
Ho1 0.000 0.000 0.000 1
Sb1 0.500 0.500 0.500 1
# Fermi-level density of states in states/eV/f.u.: 4.3
# Calculated volume in Å³/atom: 31.3
# Space-group type: Fm-3m (225)
# Mass density in g cm⁻³: 7.49
# Total energy in eV per atom: -4.963